## i
## ScCu2Mo (PBE-GGA)

Data for ScCu2Mo after structural relaxation.

Total moment = 0.000 μB/atom
Space-group type = Pmmm (47)
D(E_F) = 3.63 states/eV/f.u.

a b c (Å): 2.8568 3.7861 5.6426
angles (deg): 90.00 90.00 90.00
Closest atoms and distances in Å follow each position.
Fractional coordinates of all 4 atoms:
Sc: 0.0000 0.0000 0.0000  8 Cu 2.82, 2 Mo 2.82, 2 Sc 2.86
Cu: 0.5000 0.5000 0.2701  3 Cu 2.59-2.86, 4 Mo 2.70, 4 Sc 2.82
Cu: 0.5000 0.5000 0.7299  3 Cu 2.59-2.86, 4 Mo 2.70, 4 Sc 2.82
Mo: 0.0000 0.0000 0.5000  8 Cu 2.70, 2 Sc 2.82, 2 Mo 2.86



## ii
## ScCu2Mo (PBE-GGA)

Data for ScCu2Mo after structural relaxation.

Total moment = 0.000 μB/atom
Space-group type = Cm (8)
D(E_F) = 4.41 states/eV/f.u.

a b c (Å): 10.0104 2.8039 4.7438
angles (deg): 90.00 114.07 90.00
Closest atoms and distances in Å follow each position.
Fractional coordinates of all 8 atoms:
Sc: 0.0000 0.0000 0.0000  7 Cu 2.71-2.82, 2 Sc 2.80, 3 Mo 2.92
Sc: 0.5000 0.5000 0.0000  7 Cu 2.71-2.82, 2 Sc 2.80, 3 Mo 2.92
Cu: 0.0237 0.5000 0.5062  4 Cu 2.54-2.80, 4 Sc 2.71-2.82, 3 Mo 2.73-2.79
Cu: 0.2404 0.0000 0.8475  4 Cu 2.54-2.80, 4 Mo 2.77, 3 Sc 2.78
Cu: 0.5237 0.0000 0.5062  4 Cu 2.54-2.80, 4 Sc 2.71-2.82, 3 Mo 2.73-2.79
Cu: 0.7404 0.5000 0.8475  4 Cu 2.54-2.80, 4 Mo 2.77, 3 Sc 2.78
Mo: 0.2713 0.5000 0.3734  7 Cu 2.73-2.79, 2 Mo 2.80, 3 Sc 2.92
Mo: 0.7713 0.0000 0.3734  7 Cu 2.73-2.79, 2 Mo 2.80, 3 Sc 2.92



## iii
## ScCu2Mo (PBE-GGA)

Data for ScCu2Mo after structural relaxation.

Total moment = 0.000 μB/atom
Space-group type = P4mm (99)
D(E_F) = 4.05 states/eV/f.u.

a b c (Å): 2.8116 2.8116 7.7087
angles (deg): 90.00 90.00 90.00
Closest atoms and distances in Å follow each position.
Fractional coordinates of all 4 atoms:
Sc: 0.0000 0.0000 0.0000  4 Sc 2.81, 4 Cu 2.85, 4 Mo 3.01
Cu: 0.0000 0.0000 0.4681  8 Cu 2.53-2.81, 4 Mo 2.71
Cu: 0.5000 0.5000 0.2648  8 Cu 2.53-2.81
Mo: 0.5000 0.5000 0.7067  4 Cu 2.71, 4 Mo 2.81, 4 Sc 3.01



What is the least stable structure shown above? It is ii.